CeScTlZn | Alexandria | PBE-GGA | relaxed; symmetry = F-43m; magnetic moment = 1.09 μB per formula unit; energy relative to the elements = -0.2206 eV/atom; N(E_F) = 9.6 states/eV/cell; volume = 97.3 Å³/cell
1.0
5.163 0.000 0.000
2.581 4.471 0.000
2.581 1.490 4.215
Tl Sc Ce Zn
1 1 1 1
Cartesian
5.163 2.981 2.108
2.581 1.490 1.054
7.744 4.471 3.161
0.000 0.000 0.000

---

CeScTlZn | Alexandria | PBE-GGA | relaxed; symmetry = P4mm; magnetic moment = 1.02 μB per formula unit; energy relative to the elements = -0.2635 eV/atom; N(E_F) = 8.0 states/eV/cell; volume = 94.3 Å³/cell
1.0
3.498 0.000 0.000
0.000 3.498 0.000
0.000 0.000 7.709
Zn Sc Tl Ce
1 1 1 1
Cartesian
0.000 0.000 4.167
1.749 1.749 2.673
0.000 0.000 0.766
1.749 1.749 6.152

---

CeZrScTl | Alexandria | PBE-GGA | relaxed; symmetry = F-43m; magnetic moment = 1.77 μB per formula unit; energy relative to the elements = 0.0513 eV/atom; N(E_F) = 7.0 states/eV/cell; volume = 95.3 Å³/cell
1.0
-4.433 0.199 -2.568
-1.605 -4.076 -2.664
-4.035 -2.706 1.638
Tl Zr Ce Sc
1 1 1 1
Cartesian
-2.518 -1.646 -0.898
-5.036 -3.292 -1.797
-7.554 -4.937 -2.695
0.000 0.000 0.000

---

CeTm2Sc3 | Alexandria | PBE-GGA | relaxed; symmetry = Pnnm; magnetic moment = 0.00 μB per formula unit; energy relative to the elements = 0.1745 eV/atom; N(E_F) = 21.3 states/eV/cell; volume = 329.7 Å³/cell
1.0
-1.141 2.544 -1.840
-12.893 -7.645 -2.579
-2.634 2.653 5.303
Tm Sc Ce
4 6 2
Cartesian
-10.526 -3.092 2.251
-4.664 2.017 2.650
-12.004 -4.465 -1.766
-5.001 -1.901 0.473
-8.334 -1.224 0.442
-13.547 -3.269 0.847
0.000 0.000 0.000
-6.539 -0.709 3.074
-3.121 0.821 0.037
-8.988 -4.283 -0.351
-7.017 -2.551 -2.209
-1.317 1.327 2.651